K2NaCrF6 (PBE+U, optimized geometry); crystal system = cubic; final energy = -51.0 eV/cell
1.0
0.0000 4.2121 4.2121
4.2121 0.0000 4.2121
4.2121 4.2121 0.0000
K Na Cr F
2 1 1 6
Direct
0.2500 0.2500 0.2500 K
0.7500 0.7500 0.7500 K
0.0000 0.0000 0.0000 Na
0.5000 0.5000 0.5000 Cr
0.2687 0.2687 0.7313 F
0.2687 0.7313 0.2687 F
0.2687 0.7313 0.7313 F
0.7313 0.2687 0.2687 F
0.7313 0.2687 0.7313 F
0.7313 0.7313 0.2687 F